(a)
A plane-wave DFT calculation with PBE was carried out for MgGaAg3 after structural relaxation.

Geometry as POSCAR:
```
MgGaAg3
1.0
4.866 0.000 0.000
0.000 4.866 0.000
0.000 0.000 4.866
Mg Ga Ag
1 1 3
Cartesian
0.000 0.000 0.000
2.433 2.433 2.433
0.000 2.433 2.433
2.433 0.000 2.433
2.433 2.433 0.000
```

Properties
Total moment, μB per cell: 0.00

***

(b)
A plane-wave DFT calculation with PBE was carried out for MgGaAg3 after structural relaxation.

Geometry as POSCAR:
```
MgGaAg3
1.0
5.012 0.000 0.000
0.000 5.012 0.000
0.000 0.000 5.012
Mg Ga Ag
1 1 3
Cartesian
0.000 0.000 0.000
2.506 2.506 2.506
0.000 0.000 2.506
0.000 2.506 0.000
2.506 0.000 0.000
```

Properties
Total moment, μB per cell: 0.00

***

(c)
A plane-wave DFT calculation with PBE was carried out for MgGaAg3 after structural relaxation.

Geometry as POSCAR:
```
MgGaAg3
1.0
-2.276 3.735 5.577
2.276 -3.735 5.577
2.276 3.735 -5.577
Mg Ga Ag
2 2 6
Cartesian
0.000 0.000 0.000
0.000 3.735 0.000
2.276 1.867 0.454
0.000 1.867 5.123
2.276 -0.464 1.897
2.276 3.270 -1.897
0.000 1.867 1.963
2.276 1.867 3.614
0.000 0.464 7.475
0.000 4.199 3.680
```

Properties
Total moment, μB per cell: 0.00

***

(d)
A plane-wave DFT calculation with PBE was carried out for MgGaAg3 after structural relaxation.

Geometry as POSCAR:
```
MgGaAg3
1.0
7.617 0.000 0.000
0.000 5.163 0.000
-3.862 0.000 9.087
Mg Ga Ag
4 4 12
Cartesian
-0.284 0.818 1.723
-2.215 1.763 6.266
5.970 3.400 2.821
4.039 4.345 7.364
-0.740 3.524 8.202
1.191 4.221 3.659
2.564 0.942 5.428
4.495 1.639 0.885
0.731 3.421 0.972
-1.200 4.324 5.515
-1.936 0.913 9.003
-0.005 1.669 4.460
0.390 0.926 7.281
2.322 1.655 2.737
1.433 3.508 6.349
3.364 4.237 1.806
3.760 3.494 4.627
5.691 4.251 0.084
4.955 0.839 3.572
3.024 1.742 8.115
```

Properties
Total moment, μB per cell: 0.00

***

Which of them is most stable, and which least? Most stable: (d); least stable: (b).

***

(a)
A plane-wave DFT calculation with PBE was carried out for Mg4Ga2Ag after structural relaxation.

Geometry as POSCAR:
```
Mg4Ga2Ag
1.0
3.622 -4.462 0.000
3.622 4.462 0.000
0.000 0.000 4.438
Mg Ga Ag
4 2 1
Cartesian
1.811 2.231 2.219
1.567 0.000 0.000
1.811 -2.231 2.219
5.676 0.000 0.000
3.622 2.036 0.000
3.622 -2.036 0.000
3.622 0.000 2.219
```

Properties
Total moment, μB per cell: 0.00

***

(b)
A plane-wave DFT calculation with PBE was carried out for Mg4Ga2Ag after structural relaxation.

Geometry as POSCAR:
```
Mg4Ga2Ag
1.0
6.958 0.000 0.000
0.000 5.994 0.000
-3.079 0.000 6.891
Mg Ga Ag
8 4 2
Cartesian
-1.007 1.499 2.419
1.322 0.003 0.702
1.322 2.994 0.702
1.167 4.496 3.656
2.712 1.499 3.235
2.557 5.992 6.189
2.557 3.000 6.189
4.887 4.496 4.472
-2.179 1.499 5.145
0.411 1.499 4.870
3.468 4.496 2.021
6.058 4.496 1.746
0.182 4.496 6.201
3.698 1.499 0.690
```

Properties
Total moment, μB per cell: 0.00

***

Which of them is most stable, and which least? Most stable: (a); least stable: (b).

***

(a)
A plane-wave DFT calculation with PBE was carried out for Mg4GaAg after structural relaxation.

Geometry as POSCAR:
```
Mg4GaAg
1.0
5.539 -1.764 0.000
5.539 1.764 0.000
-1.863 0.000 6.192
Mg Ga Ag
4 1 1
Cartesian
1.088 0.000 2.020
0.162 0.000 5.127
9.052 0.000 1.065
8.126 0.000 4.172
5.539 0.000 0.000
4.607 0.000 3.096
```

Properties
Total moment, μB per cell: 0.00

***

(b)
A plane-wave DFT calculation with PBE was carried out for Mg4GaAg after structural relaxation.

Geometry as POSCAR:
```
Mg4GaAg
1.0
3.242 -3.242 0.000
3.242 3.242 0.000
-0.006 0.000 6.577
Mg Ga Ag
4 1 1
Cartesian
4.862 -1.619 1.647
1.616 1.619 4.930
4.862 1.619 1.647
1.616 -1.619 4.930
0.000 0.000 0.000
3.239 0.000 3.288
```

Properties
Total moment, μB per cell: 0.00

***

Which of them is most stable, and which least? Most stable: (a); least stable: (b).

***

(a)
A plane-wave DFT calculation with PBE was carried out for Mg2Ga5Ag3 after structural relaxation.

Geometry as POSCAR:
```
Mg2Ga5Ag3
1.0
-5.540 6.280 2.782
5.540 -6.280 2.782
5.540 6.280 -2.782
Mg Ga Ag
4 10 6
Cartesian
1.367 2.888 0.000
6.907 3.391 0.000
-1.367 2.888 2.782
4.172 3.391 2.782
4.036 -4.472 2.782
2.817 0.000 1.391
5.540 0.000 1.391
8.263 0.000 1.391
4.036 4.472 0.000
1.504 1.808 2.782
-2.723 6.280 1.391
0.000 6.280 1.391
2.723 6.280 1.391
1.504 10.751 0.000
4.259 1.937 0.000
0.000 0.000 1.391
4.259 -1.937 2.782
1.281 8.217 0.000
0.000 0.000 4.174
1.281 4.342 2.782
```

Properties
Total moment, μB per cell: 0.00

***

(b)
A plane-wave DFT calculation with PBE was carried out for Mg2Ga5Ag3 after structural relaxation.

Geometry as POSCAR:
```
Mg2Ga5Ag3
1.0
5.353 -6.310 0.000
5.353 6.310 0.000
-0.608 0.000 5.492
Mg Ga Ag
4 10 6
Cartesian
3.528 3.203 4.861
6.266 3.203 3.376
3.832 -3.203 2.116
6.570 -3.203 0.630
3.681 4.454 2.138
2.078 0.460 5.396
6.721 4.454 0.607
2.383 -0.460 2.650
4.897 0.537 4.119
5.201 -0.537 1.373
7.715 0.460 2.842
3.377 -4.454 4.884
8.019 -0.460 0.096
6.417 -4.454 3.353
4.897 5.837 4.119
3.780 1.868 1.970
6.622 1.868 0.776
3.475 -1.868 4.716
6.318 -1.868 3.522
5.201 -5.837 1.373
```

Properties
Total moment, μB per cell: 0.00

***

Which of them is most stable, and which least? Most stable: (b); least stable: (a).

***

(a)
A plane-wave DFT calculation with PBE was carried out for MgGaAg5 after structural relaxation.

Geometry as POSCAR:
```
MgGaAg5
1.0
4.247 0.000 0.000
0.000 4.247 0.000
0.000 0.000 7.271
Mg Ga Ag
1 1 5
Cartesian
0.000 0.000 0.000
2.124 2.124 3.635
0.000 2.124 2.027
0.000 2.124 5.244
2.124 0.000 2.027
2.124 0.000 5.244
2.124 2.124 0.000
```

Properties
Total moment, μB per cell: 0.00

***

(b)
A plane-wave DFT calculation with PBE was carried out for MgGaAg5 after structural relaxation.

Geometry as POSCAR:
```
MgGaAg5
1.0
-2.750 3.580 3.719
2.750 -3.580 3.719
2.750 3.580 -3.719
Mg Ga Ag
1 1 5
Cartesian
0.000 0.000 0.000
0.000 3.580 0.962
2.750 1.321 -0.356
1.337 3.580 -1.455
1.413 0.000 2.264
0.000 0.000 4.869
0.000 2.259 3.363
```

Properties
Total moment, μB per cell: 0.00

***

Which of them is most stable, and which least? Most stable: (a); least stable: (b).